1.
VASP calculation (PBE-GGA) on crystalline Nd2ScNi at its relaxed geometry.

Output
* DFT formation energy: -19 kJ/mol of formula units
* space group: No. 123
* distance to the lowest polymorph of the same formula: 0 meV per atom
* total energy: -21.8 eV per cell
* DOS(E_F): 4.96 states/eV/f.u.

Lattice parameters (Å, degrees): 3.6036 3.6036 7.8816 90.00 90.00 90.00
Fractional coordinates of all 4 atoms:
Nd  0.0000  0.0000  0.2096
Nd  0.0000  0.0000  0.7904
Sc  0.5000  0.5000  0.5000
Ni  0.5000  0.5000  0.0000

2.
VASP calculation (PBE-GGA) on crystalline ZrAu6 at its relaxed geometry.

Output
* DFT formation energy: 604 kJ/mol of formula units
* space group: No. 229
* total energy: -43.9 eV per cell
* DOS(E_F): 7.05 states/eV/f.u.

Lattice parameters (Å, degrees): 7.3849 7.3849 7.3849 90.00 90.00 90.00
Fractional coordinates of all 14 atoms:
Zr  0.0000  0.0000  0.0000
Zr  0.5000  0.5000  0.5000
Au  0.0000  0.2500  0.5000
Au  0.0000  0.5000  0.2500
Au  0.0000  0.5000  0.7500
Au  0.0000  0.7500  0.5000
Au  0.2500  0.0000  0.5000
Au  0.2500  0.5000  0.0000
Au  0.5000  0.0000  0.2500
Au  0.5000  0.0000  0.7500
Au  0.5000  0.2500  0.0000
Au  0.5000  0.7500  0.0000
Au  0.7500  0.0000  0.5000
Au  0.7500  0.5000  0.0000

3.
VASP calculation (PBE-GGA) on crystalline Sr4OsRh at its relaxed geometry.

Output
* DFT formation energy: 815 kJ/mol of formula units
* space group: No. 216
* total energy: -16.9 eV per cell
* DOS(E_F): 9.94 states/eV/f.u.

Lattice parameters (Å, degrees): 6.3022 6.3022 6.3022 60.00 60.00 60.00
Fractional coordinates of all 6 atoms:
Sr  0.1249  0.1249  0.1249
Sr  0.1249  0.1249  0.6254
Sr  0.1249  0.6254  0.1249
Sr  0.6254  0.1249  0.1249
Os  0.7500  0.7500  0.7500
Rh  0.5000  0.5000  0.5000

4.
VASP calculation (PBE-GGA) on crystalline Sm4CuS2Cl at its relaxed geometry.

Output
* space group: No. 10
* formation energy without anion corrections: -1403 meV per atom
* total energy: -44.3 eV per cell
* DOS(E_F): 3.98 states/eV/f.u.

Lattice parameters (Å, degrees): 7.0756 3.9538 7.0811 90.00 108.41 90.00
Fractional coordinates of all 8 atoms:
Sm  0.2338  0.0000  0.2329
Sm  0.2452  0.5000  0.7526
Sm  0.7548  0.5000  0.2474
Sm  0.7662  0.0000  0.7671
Cu  0.0000  0.0000  0.5000
S  0.0000  0.5000  0.0000
S  0.5000  0.0000  0.0000
Cl  0.5000  0.5000  0.5000

5.
VASP calculation (PBE-GGA) on crystalline ErIn4Ni2 at its relaxed geometry.

Output
* DFT formation energy: -191 kJ/mol of formula units
* space group: No. 62
* total energy: -116.2 eV per cell
* DOS(E_F): 3.48 states/eV/f.u.

Lattice parameters (Å, degrees): 18.0691 4.3786 7.0740 90.00 90.00 90.00
Fractional coordinates of all 28 atoms:
Er  0.1419  0.2500  0.0380
Er  0.3581  0.7500  0.5380
Er  0.6419  0.2500  0.4620
Er  0.8581  0.7500  0.9620
In  0.0319  0.7500  0.8564
In  0.0704  0.2500  0.5065
In  0.1859  0.7500  0.3337
In  0.1939  0.7500  0.7476
In  0.3061  0.2500  0.2476
In  0.3141  0.2500  0.8337
In  0.4296  0.7500  0.0065
In  0.4681  0.2500  0.3564
In  0.5319  0.7500  0.6436
In  0.5704  0.2500  0.9935
In  0.6859  0.7500  0.1663
In  0.6939  0.7500  0.7524
In  0.8061  0.2500  0.2524
In  0.8141  0.2500  0.6663
In  0.9296  0.7500  0.4935
In  0.9681  0.2500  0.1436
Ni  0.0434  0.7500  0.2438
Ni  0.2185  0.2500  0.5442
Ni  0.2815  0.7500  0.0442
Ni  0.4566  0.2500  0.7438
Ni  0.5434  0.7500  0.2562
Ni  0.7185  0.2500  0.9558
Ni  0.7815  0.7500  0.4558
Ni  0.9566  0.2500  0.7562

6.
VASP calculation (PBE-GGA) on crystalline CuHg2N2 at its relaxed geometry.

Output
* space group: No. 139
* formation energy without anion corrections: 1287 meV per atom
* total energy: -29.8 eV per cell
* DOS(E_F): 2.21 states/eV/f.u.

Lattice parameters (Å, degrees): 4.1832 4.1832 9.1066 90.00 90.00 90.00
Fractional coordinates of all 10 atoms:
Cu  0.0000  0.0000  0.0000
Cu  0.5000  0.5000  0.5000
Hg  0.0000  0.5000  0.2500
Hg  0.0000  0.5000  0.7500
Hg  0.5000  0.0000  0.2500
Hg  0.5000  0.0000  0.7500
N  0.0000  0.5000  0.0000
N  0.0000  0.5000  0.5000
N  0.5000  0.0000  0.0000
N  0.5000  0.0000  0.5000

7.
VASP calculation (PBE-GGA) on crystalline Ca2TbY at its relaxed geometry.

Output
* DFT formation energy: 98 kJ/mol of formula units
* space group: No. 166
* distance to the lowest polymorph of the same formula: 128 meV per atom
* total energy: -42.3 eV per cell
* DOS(E_F): 6.98 states/eV/f.u.

Lattice parameters (Å, degrees): 3.5875 3.5875 39.3844 90.00 90.00 120.00
Fractional coordinates of all 12 atoms:
Ca  0.0000  0.0000  0.0882
Ca  0.0000  0.0000  0.9118
Ca  0.3333  0.6667  0.5785
Ca  0.3333  0.6667  0.7548
Ca  0.6667  0.3333  0.2452
Ca  0.6667  0.3333  0.4215
Tb  0.0000  0.0000  0.0000
Tb  0.3333  0.6667  0.6667
Tb  0.6667  0.3333  0.3333
Y  0.0000  0.0000  0.5000
Y  0.3333  0.6667  0.1667
Y  0.6667  0.3333  0.8333

8.
VASP calculation (PBE-GGA) on crystalline CsZnPbF6 at its relaxed geometry.

Output
* space group: No. 149
* formation energy without anion corrections: -2324 meV per atom
* total energy: -38.0 eV per cell
* DOS(E_F): 3.88 states/eV/f.u.

Lattice parameters (Å, degrees): 5.8969 5.8969 6.4009 90.00 90.00 120.00
Fractional coordinates of all 9 atoms:
Cs  0.0000  0.0000  0.0000
Zn  0.3333  0.6667  0.5000
Pb  0.6667  0.3333  0.5000
F  0.0244  0.4019  0.6868
F  0.0244  0.6225  0.3132
F  0.3775  0.4019  0.3132
F  0.3775  0.9756  0.6868
F  0.5981  0.6225  0.6868
F  0.5981  0.9756  0.3132

9.
VASP calculation (PBE-GGA) on crystalline HfNbCuHg2 at its relaxed geometry.

Output
* DFT formation energy: 723 kJ/mol of formula units
* space group: No. 123
* total energy: -17.2 eV per cell
* DOS(E_F): 5.76 states/eV/f.u.

Lattice parameters (Å, degrees): 5.2564 5.2564 4.6953 90.00 90.00 90.00
Fractional coordinates of all 5 atoms:
Hf  0.0000  0.0000  0.0000
Nb  0.5000  0.5000  0.5000
Cu  0.0000  0.0000  0.5000
Hg  0.0000  0.5000  0.0000
Hg  0.5000  0.0000  0.0000

10.
VASP calculation (PBE-GGA) on crystalline LaAg3Cl at its relaxed geometry.

Output
* space group: No. 221
* distance to the lowest polymorph of the same formula: 412 meV per atom
* formation energy without anion corrections: 796 meV per atom
* total energy: -11.3 eV per cell
* DOS(E_F): 5.26 states/eV/f.u.

Lattice parameters (Å, degrees): 5.8510 5.8510 5.8510 90.00 90.00 90.00
Fractional coordinates of all 5 atoms:
La  0.0000  0.0000  0.0000
Ag  0.0000  0.0000  0.5000
Ag  0.0000  0.5000  0.0000
Ag  0.5000  0.0000  0.0000
Cl  0.5000  0.5000  0.5000

11.
VASP calculation (PBE-GGA) on crystalline La4NiRh at its relaxed geometry.

Output
* DFT formation energy: -226 kJ/mol of formula units
* space group: No. 11
* distance to the lowest polymorph of the same formula: 0 meV per atom
* total energy: -70.4 eV per cell
* DOS(E_F): 6.91 states/eV/f.u.

Lattice parameters (Å, degrees): 6.5141 7.0896 7.8543 90.00 107.47 90.00
Fractional coordinates of all 12 atoms:
La  0.0014  0.0001  0.2460
La  0.0014  0.4999  0.2460
La  0.4468  0.2500  0.6137
La  0.4493  0.2500  0.1097
La  0.5507  0.7500  0.8903
La  0.5532  0.7500  0.3863
La  0.9986  0.9999  0.7540
La  0.9986  0.5001  0.7540
Ni  0.2194  0.7500  0.0548
Ni  0.7806  0.2500  0.9452
Rh  0.2322  0.7500  0.5569
Rh  0.7678  0.2500  0.4431

12.
VASP calculation (PBE-GGA) on crystalline Sm3GdIr at its relaxed geometry.

Output
* DFT formation energy: -94 kJ/mol of formula units
* space group: No. 221
* total energy: -38.1 eV per cell
* DOS(E_F): 9.56 states/eV/f.u.

Lattice parameters (Å, degrees): 5.5521 5.5521 5.5521 90.00 90.00 90.00
Fractional coordinates of all 5 atoms:
Sm  0.0000  0.0000  0.5000
Sm  0.0000  0.5000  0.0000
Sm  0.5000  0.0000  0.0000
Gd  0.5000  0.5000  0.5000
Ir  0.0000  0.0000  0.0000